# K5NaNi5P8O28 (GGA+U, optimized geometry)
# - Calculated total energy: -298.67 eV per cell
# - Spin magnetization: 9.8 Bohr magnetons per cell
# - Calculated volume: 645.5 Å³ per cell
data_K5NaNi5P8O28
_cell_length_a 7.374
_cell_length_b 9.511
_cell_length_c 10.176
_cell_angle_alpha 70.38
_cell_angle_beta 89.10
_cell_angle_gamma 74.48
_space_group_name_H-M_alt 'P 1'
_space_group_IT_number 1
loop_
_space_group_symop_operation_xyz
'x,y,z'
loop_
_atom_site_label
_atom_site_fract_x
_atom_site_fract_y
_atom_site_fract_z
_atom_site_occupancy
K1 0.000 0.000 0.000 1
K2 0.007 0.104 0.362 1
K3 0.035 0.349 0.613 1
K4 0.483 0.551 0.687 1
K5 0.940 0.737 0.770 1
Na1 0.428 0.174 0.848 1
Ni1 0.359 0.591 0.053 1
Ni2 0.530 0.080 0.172 1
Ni3 0.581 0.932 0.499 1
Ni4 0.629 0.512 0.304 1
Ni5 0.994 0.548 0.186 1
P1 0.153 0.367 0.967 1
P2 0.230 0.733 0.312 1
P3 0.349 0.892 0.778 1
P4 0.362 0.293 0.356 1
P5 0.632 0.812 0.018 1
P6 0.663 0.206 0.574 1
P7 0.756 0.361 0.061 1
P8 0.841 0.732 0.407 1
O1 0.064 0.714 0.428 1
O2 0.149 0.354 0.351 1
O3 0.149 0.494 0.031 1
O4 0.165 0.685 0.192 1
O5 0.195 0.417 0.814 1
O6 0.226 0.902 0.262 1
O7 0.239 0.053 0.774 1
O8 0.259 0.765 0.864 1
O9 0.278 0.207 0.055 1
O10 0.394 0.877 0.634 1
O11 0.409 0.619 0.401 1
O12 0.427 0.128 0.345 1
O13 0.437 0.268 0.514 1
O14 0.455 0.403 0.249 1
O15 0.525 0.702 0.113 1
O16 0.561 0.849 0.856 1
O17 0.586 0.478 0.965 1
O18 0.587 0.971 0.035 1
O19 0.665 0.222 0.717 1
O20 0.735 0.037 0.575 1
O21 0.735 0.904 0.327 1
O22 0.740 0.194 0.117 1
O23 0.759 0.314 0.468 1
O24 0.770 0.695 0.555 1
O25 0.820 0.412 0.178 1
O26 0.826 0.617 0.336 1
O27 0.843 0.740 0.025 1
O28 0.935 0.353 0.962 1